NiHg2BO4 | PBE+U | optimized geometry

POSCAR file:
```
NiHg2BO4
1.0
5.038 0.000 0.000
-2.378 4.598 0.000
-2.387 -1.631 4.306
Ni Hg B O
1 2 1 4
Cartesian
0.000 0.000 0.000
0.148 3.083 1.046
2.652 1.576 2.084
0.136 -0.004 3.181
-0.885 -1.086 3.108
0.809 0.166 1.838
-0.536 1.316 3.481
1.159 -0.305 4.223
```

Calculated values
D(E_F) ... 2.072 states/eV per cell
DFT total energy ... -4.653 eV per atom